VASP calculation (PBE-GGA) on KU2RuS4 after structural relaxation.

a = 3.7585 Å, b = 7.2219 Å, c = 13.5359 Å
α = 90.00°, β = 90.00°, γ = 105.08°
Each line ends with the local moment (μB).
Fractional coordinates of all 16 atoms:
S1 0.2681 0.5363 0.3906  -0.07
S2 0.0000 0.0000 0.5000  -0.08
S3 0.7319 0.4637 0.6094  -0.07
S4 0.7319 0.4637 0.8906  -0.07
S5 0.4320 0.8640 0.7500  -0.03
S6 0.2681 0.5363 0.1094  -0.07
S7 0.5680 0.1360 0.2500  -0.03
S8 0.0000 0.0000 0.0000  -0.08
U1 0.6349 0.2697 0.4374  2.08
U2 0.3651 0.7303 0.9374  2.08
U3 0.3651 0.7303 0.5626  2.08
U4 0.6349 0.2697 0.0626  2.08
Ru1 0.1658 0.3316 0.2500  -0.23
Ru2 0.8342 0.6684 0.7500  -0.23
K1 0.8950 0.7900 0.2500  0.00
K2 0.1050 0.2100 0.7500  0.00

Properties
Uncorrected formation energy = -1177 meV per atom
Final energy = -7.360 eV per atom
Fermi-level density of states = 12.7 states/eV/f.u.
Crystal system = orthorhombic

=====

VASP calculation (PBE-GGA) on BaSbHAu after structural relaxation.

a = 4.7764 Å, b = 4.7765 Å, c = 4.9059 Å
α = 90.00°, β = 90.00°, γ = 119.99°
Fractional coordinates of all 4 atoms:
Sb1 0.5719 0.1438 0.3250
Au1 0.2386 0.4772 0.2393
Ba1 0.9053 0.8105 0.7909
H1 0.2385 0.4771 0.8840

Properties
Final energy = -3.742 eV per atom
Fermi-level density of states = 1.8 states/eV/f.u.
Crystal system = trigonal

=====

VASP calculation (PBE-GGA) on LiMgNb after structural relaxation.

a = 5.2931 Å, b = 2.8138 Å, c = 7.8242 Å
α = 82.60°, β = 78.33°, γ = 78.11°
Fractional coordinates of all 6 atoms:
Li1 0.5897 0.5593 0.1663
Li2 0.4103 0.4407 0.8337
Nb1 0.7411 0.7183 0.5005
Nb2 0.2589 0.2817 0.4995
Mg1 0.0909 0.0844 0.1713
Mg2 0.9091 0.9156 0.8287

Properties
Final energy = -4.354 eV per atom
Excess energy over the best structure of this formula in the dataset = 7 meV per atom
Fermi-level density of states = 2.2 states/eV/f.u.
Formation energy from the elements = 0.515 eV per formula unit
Crystal system = triclinic

=====

VASP calculation (PBE-GGA) on BaIn2SnBi2 after structural relaxation.

a = 5.2650 Å, b = 8.1339 Å, c = 9.8315 Å
α = 90.00°, β = 90.00°, γ = 90.00°
Fractional coordinates of all 12 atoms:
In1 0.0000 0.8263 0.8311
In2 0.0000 0.3263 0.1689
In3 0.5000 0.0338 0.0708
In4 0.5000 0.5338 0.9292
Ba1 0.0000 0.9991 0.4161
Ba2 0.0000 0.4991 0.5839
Sn1 0.5000 0.1828 0.6865
Sn2 0.5000 0.6828 0.3135
Bi1 0.0000 0.7021 0.1358
Bi2 0.0000 0.2021 0.8642
Bi3 0.5000 0.8015 0.6328
Bi4 0.5000 0.3015 0.3672

Properties
Final energy = -3.442 eV per atom
Fermi-level density of states = 2.0 states/eV/f.u.
Formation energy from the elements = -1.488 eV per formula unit
Crystal system = orthorhombic